An optimized crystal structure of DyAsF, computed with PBE.

Cell: 3.924 6.590 5.390 Å, 69.91 110.59 89.85°
Fractional positions:
1 As 0.983 0.353 0.903
2 As 0.017 0.647 0.097
3 Dy 0.685 0.270 0.368
4 Dy 0.315 0.730 0.632
5 F 0.291 0.092 0.588
6 F 0.709 0.908 0.412

Calculated values
* calculated total energy: -6.06 eV per atom
* magnetic moment: 0.0000 μB/atom
* energy relative to the elements, uncorrected: -2355 meV/atom
* SG: P-1 (2)